1.
DFT (PBE) results for crystalline B3C5 at its relaxed geometry.

Geometry as extended XYZ:
```
8
Lattice="1.2796 0.7388 9.0217 -1.2796 0.7388 9.0217 0.0000 -1.4775 9.0217" Properties=species:S:1:pos:R:3 pbc="T T T"
B 0.0000 0.0000 0.0000
B 0.0000 0.0000 6.8063
B 0.0000 0.0000 14.8125
C 0.0000 0.0000 1.6385
C 0.0000 0.0000 8.3480
C 0.0000 0.0000 13.2189
C 0.0000 0.0000 20.1589
C 0.0000 0.0000 21.7477
```

Magnetization   0.000 μB per atom
DOS(E_F)   0.595 states/eV per cell
Energy above the most stable polymorph in this dataset   50 meV/atom
Formation enthalpy at 0 K   2.594 eV per formula unit

2.
DFT (PBE) results for crystalline B7C5 at its relaxed geometry.

Geometry as extended XYZ:
```
12
Lattice="3.9743 0.0000 0.0000 0.0000 2.6426 0.0000 -0.6486 0.0000 8.9195" Properties=species:S:1:pos:R:3 pbc="T T T"
B 0.0000 0.0000 0.0000
B -0.1440 1.3213 4.1346
B 0.0592 1.3213 6.2593
B 1.5472 1.3213 1.6739
B 1.3550 1.3213 8.3197
B 2.1835 0.0000 2.5788
B 2.9138 0.0000 6.5957
C 0.6960 1.3213 0.4081
C 1.1395 1.3213 5.1580
C 1.9828 0.0000 5.1508
C 2.0517 0.0000 7.9465
C 3.0445 0.0000 3.8484
```

Magnetization   0.000 μB per atom
DOS(E_F)   0.903 states/eV per cell
Energy above the most stable polymorph in this dataset   202 meV/atom
Formation enthalpy at 0 K   4.395 eV per formula unit

3.
DFT (PBE) results for crystalline B7C5 at its relaxed geometry.

Geometry as extended XYZ:
```
12
Lattice="4.7290 -1.3007 0.0000 4.7290 1.3007 0.0000 -3.5195 0.0000 7.0285" Properties=species:S:1:pos:R:3 pbc="T T T"
B 0.0000 0.0000 0.0000
B -1.1748 0.0000 5.1356
B 1.2820 0.0000 1.4988
B 1.3572 0.0000 4.5768
B 3.4280 0.0000 2.6858
B 2.0675 0.0000 6.1459
B 5.1986 0.0000 2.4482
C -1.7419 0.0000 3.6256
C 2.8001 0.0000 1.1223
C 3.6742 0.0000 5.9762
C 6.0979 0.0000 3.7576
C 7.9159 0.0000 0.3391
```

Magnetization   0.000 μB per atom
DOS(E_F)   2.190 states/eV per cell
Energy above the most stable polymorph in this dataset   324 meV/atom
Formation enthalpy at 0 K   5.857 eV per formula unit

4.
DFT (PBE) results for crystalline B7C5 at its relaxed geometry.

Geometry as extended XYZ:
```
12
Lattice="6.5418 -1.3205 0.0000 6.5418 1.3205 0.0000 -1.1597 0.0000 4.9512" Properties=species:S:1:pos:R:3 pbc="T T T"
B 0.0000 0.0000 0.0000
B -0.7634 0.0000 3.3069
B 0.8182 0.0000 4.4838
B 1.8928 0.0000 2.6851
B 4.3949 0.0000 1.5317
B 6.6240 0.0000 1.2828
B 10.1640 0.0000 4.2806
C 3.1047 0.0000 3.6065
C 5.5929 0.0000 2.4813
C 8.1563 0.0000 1.7379
C 8.9747 0.0000 0.4718
C 10.4365 0.0000 0.7666
```

Magnetization   0.000 μB per atom
DOS(E_F)   2.250 states/eV per cell
Energy above the most stable polymorph in this dataset   265 meV/atom
Formation enthalpy at 0 K   5.157 eV per formula unit

5.
DFT (PBE) results for crystalline BC at its relaxed geometry.

Geometry as extended XYZ:
```
12
Lattice="4.6531 0.0000 0.0000 0.0000 2.6651 0.0000 -0.2884 0.0000 6.5655" Properties=species:S:1:pos:R:3 pbc="T T T"
B 0.0000 0.0000 0.0000
B 0.0418 0.0000 4.7258
B 0.6584 1.3326 1.9874
B 2.0682 1.3326 4.7266
B 3.0107 0.0000 2.0841
B 3.7047 1.3326 3.9608
C 0.8172 1.3326 0.1526
C 1.4633 0.0000 2.5369
C 1.4809 0.0000 4.0441
C 2.0395 1.3326 6.4172
C 3.0579 0.0000 0.1738
C 3.7701 1.3326 2.4442
```

Magnetization   0.000 μB per atom
DOS(E_F)   2.077 states/eV per cell
Energy above the most stable polymorph in this dataset   260 meV/atom
Formation enthalpy at 0 K   0.821 eV per formula unit

6.
DFT (PBE) results for crystalline B3C at its relaxed geometry.

Geometry as extended XYZ:
```
12
Lattice="4.6209 -1.3974 0.0000 4.6209 1.3974 0.0000 -1.7267 0.0000 6.6188" Properties=species:S:1:pos:R:3 pbc="T T T"
B 0.0000 0.0000 0.0000
B -0.6107 0.0000 5.1364
B 2.4285 0.0000 0.6522
B 2.4197 0.0000 3.9407
B 3.8936 0.0000 2.7912
B 3.3339 0.0000 5.5708
B 5.1696 0.0000 5.2830
B 5.9827 0.0000 3.6874
B 7.7743 0.0000 3.4467
C 0.9779 0.0000 1.3437
C 5.2667 0.0000 2.1161
C 7.6478 0.0000 0.1451
```

Magnetization   0.000 μB per atom
DOS(E_F)   2.703 states/eV per cell
Energy above the most stable polymorph in this dataset   128 meV/atom
Formation enthalpy at 0 K   1.476 eV per formula unit

7.
DFT (PBE) results for crystalline B7C5 at its relaxed geometry.

Geometry as extended XYZ:
```
12
Lattice="3.8558 0.0000 0.0000 -1.5078 4.2867 0.0000 -0.4887 -1.6802 5.1193" Properties=species:S:1:pos:R:3 pbc="T T T"
B 0.0000 0.0000 0.0000
B -0.8960 0.9623 2.6582
B 0.4838 0.3415 1.6024
B 0.0803 3.0532 0.9812
B -0.0176 2.2294 3.5886
B 1.2412 0.1518 4.8859
B 3.0032 1.5054 0.9364
C 0.4115 -0.9482 4.0018
C 0.6332 1.5886 4.8660
C 1.0014 2.7253 2.3221
C 1.6365 1.3897 1.9123
C 3.4121 -0.5153 2.8820
```

Magnetization   0.000 μB per atom
DOS(E_F)   3.063 states/eV per cell
Energy above the most stable polymorph in this dataset   255 meV/atom
Formation enthalpy at 0 K   5.031 eV per formula unit

8.
DFT (PBE) results for crystalline B7C5 at its relaxed geometry.

Geometry as extended XYZ:
```
12
Lattice="7.2465 -1.2162 0.0000 7.2465 1.2162 0.0000 -1.1679 0.0000 4.6675" Properties=species:S:1:pos:R:3 pbc="T T T"
B 0.0000 0.0000 0.0000
B 1.6148 0.0000 0.6769
B 2.8045 0.0000 4.4408
B 5.2636 0.0000 3.6674
B 6.7680 0.0000 2.5467
B 11.7173 0.0000 0.9865
B 13.3375 0.0000 1.4375
C 1.2912 0.0000 3.8952
C 3.7879 0.0000 3.0828
C 8.2773 0.0000 3.0378
C 9.2303 0.0000 1.7942
C 10.6879 0.0000 2.2690
```

Magnetization   0.000 μB per atom
DOS(E_F)   2.718 states/eV per cell
Energy above the most stable polymorph in this dataset   316 meV/atom
Formation enthalpy at 0 K   5.765 eV per formula unit

9.
DFT (PBE) results for crystalline B7C5 at its relaxed geometry.

Geometry as extended XYZ:
```
12
Lattice="2.6723 0.0000 0.0000 0.0000 2.7209 0.0000 0.0000 0.0000 11.7769" Properties=species:S:1:pos:R:3 pbc="T T T"
B 0.0000 0.0000 0.0000
B 0.0000 0.0000 4.1646
B 0.0000 1.3605 7.2176
B 1.3362 0.0000 1.3619
B 1.3362 0.0000 8.7510
B 1.3362 1.3605 5.7602
B 1.3362 1.3605 10.2069
C 0.0000 0.0000 7.9791
C 0.0000 1.3605 3.0720
C 0.0000 1.3605 10.9497
C 1.3362 0.0000 5.0470
C 1.3362 1.3605 2.2649
```

Magnetization   0.000 μB per atom
DOS(E_F)   3.067 states/eV per cell
Energy above the most stable polymorph in this dataset   196 meV/atom
Formation enthalpy at 0 K   4.326 eV per formula unit

10.
DFT (PBE) results for crystalline B7C5 at its relaxed geometry.

Geometry as extended XYZ:
```
12
Lattice="4.2219 0.0000 0.0000 0.0000 2.5701 0.0000 -0.3077 0.0000 7.9260" Properties=species:S:1:pos:R:3 pbc="T T T"
B 0.0000 0.0000 0.0000
B -0.2160 0.0000 5.6840
B 0.0644 0.0000 2.3027
B 1.3607 0.0000 1.2517
B 1.4754 0.0000 3.3864
B 2.8438 1.2851 5.2715
B 3.0553 1.2851 2.5570
C 0.9893 0.0000 6.6432
C 1.8624 1.2851 6.6525
C 2.1217 1.2851 3.8713
C 2.2991 1.2851 1.1343
C 2.8253 1.2851 7.8670
```

Magnetization   0.000 μB per atom
DOS(E_F)   2.014 states/eV per cell
Energy above the most stable polymorph in this dataset   232 meV/atom
Formation enthalpy at 0 K   4.752 eV per formula unit

11.
DFT (PBE) results for crystalline BC at its relaxed geometry.

Geometry as extended XYZ:
```
10
Lattice="-1.3507 1.3507 9.5097 1.3507 -1.3507 9.5097 1.3507 1.3507 -9.5097" Properties=species:S:1:pos:R:3 pbc="T T T"
B 0.0000 0.0000 0.0000
B 0.0000 0.0000 7.8749
B 0.0000 0.0000 11.1445
B 0.0000 1.3507 3.0614
B 0.0000 1.3507 6.4483
C 1.3507 0.0000 0.9541
C 0.0000 0.0000 3.8544
C 1.3507 0.0000 4.7548
C 1.3507 0.0000 8.5555
C 0.0000 0.0000 15.1650
```

Magnetization   0.000 μB per atom
DOS(E_F)   1.324 states/eV per cell
Energy above the most stable polymorph in this dataset   255 meV/atom
Formation enthalpy at 0 K   0.812 eV per formula unit